No. 1
# YBeAl2 (PBE, relaxed)
# Calculated total energy (eV/atom): -4.131
# Formation energy (eV per atom): 0.287
data_YBeAl2
_symmetry_space_group_name_H-M 'R 3 m'
_symmetry_Int_Tables_number 160
_symmetry_space_group_name_Hall 'R 3 -2"'
_cell_length_a 3.0744
_cell_length_b 3.0744
_cell_length_c 27.4625
_cell_angle_alpha 90.00
_cell_angle_beta 90.00
_cell_angle_gamma 120.00
loop_
_atom_site_label
_atom_site_fract_x
_atom_site_fract_y
_atom_site_fract_z
Y1 0.0000 0.0000 0.0000
Be1 0.0000 0.0000 0.2461
Al1 0.0000 0.0000 0.5135
Al2 0.0000 0.0000 0.7634

No. 2
# AcPm4Mg (PBE, relaxed)
# Calculated total energy (eV/atom): -4.129
# Formation energy (eV per atom): -0.011
data_AcPm4Mg
_symmetry_space_group_name_H-M 'P 4/m m m'
_symmetry_Int_Tables_number 123
_symmetry_space_group_name_Hall '-P 4 2'
_cell_length_a 3.782
_cell_length_b 3.782
_cell_length_c 14.429
_cell_angle_alpha 90.00
_cell_angle_beta 90.00
_cell_angle_gamma 90.00
loop_
_atom_site_label
_atom_site_fract_x
_atom_site_fract_y
_atom_site_fract_z
Ac1 0.000 0.000 0.000
Pm1 0.000 0.000 0.359
Pm2 0.500 0.500 0.189
Mg1 0.500 0.500 0.500

No. 3
# YEr3Tl3 (PBE, relaxed)
# E above lowest polymorph (meV per atom): 0
# Calculated total energy (eV/atom): -4.134
# Formation energy (eV per atom): -0.241
data_YEr3Tl3
_symmetry_space_group_name_H-M 'P 21 3'
_symmetry_Int_Tables_number 198
_symmetry_space_group_name_Hall 'P 2ac 2ab 3'
_cell_length_a 9.285
_cell_length_b 9.285
_cell_length_c 9.285
_cell_angle_alpha 90.00
_cell_angle_beta 90.00
_cell_angle_gamma 90.00
loop_
_atom_site_label
_atom_site_fract_x
_atom_site_fract_y
_atom_site_fract_z
Y1 0.071 0.429 0.571
Er1 0.077 0.577 0.923
Er2 0.177 0.177 0.177
Er3 0.177 0.823 0.323
Tl1 0.001 0.255 0.877

No. 4
# La3Y8Th2 (PBE, relaxed)
# E above lowest polymorph (meV per atom): 0
# Calculated total energy (eV/atom): -6.118
# Formation energy (eV per atom): 0.138
data_La3Y8Th2
_symmetry_space_group_name_H-M 'P -1'
_symmetry_Int_Tables_number 2
_cell_length_a 7.049
_cell_length_b 8.610
_cell_length_c 15.391
_cell_angle_alpha 89.53
_cell_angle_beta 82.76
_cell_angle_gamma 77.49
loop_
_symmetry_equiv_pos_as_xyz
'x,y,z'
'-x,-y,-z'
loop_
_atom_site_label
_atom_site_fract_x
_atom_site_fract_y
_atom_site_fract_z
La1 0.000 0.000 0.000
La2 0.000 0.500 0.500
La3 0.317 0.053 0.191
La4 0.437 0.458 0.306
Y1 0.042 0.568 0.718
Y2 0.163 0.688 0.142
Y3 0.194 0.918 0.773
Y4 0.236 0.134 0.423
Y5 0.277 0.809 0.554
Y6 0.317 0.301 0.867
Y7 0.400 0.195 0.637
Y8 0.468 0.665 0.934
Th1 0.008 0.353 0.070
Th2 0.077 0.813 0.359

No. 5
# PaMnZnRe (PBE, relaxed)
# Calculated total energy (eV/atom): -7.951
# Formation energy (eV per atom): 0.146
data_PaMnZnRe
_symmetry_space_group_name_H-M 'F -4 3 m'
_symmetry_Int_Tables_number 216
_symmetry_space_group_name_Hall 'F -4 2 3'
_cell_length_a 6.458
_cell_length_b 6.458
_cell_length_c 6.458
_cell_angle_alpha 90.00
_cell_angle_beta 90.00
_cell_angle_gamma 90.00
loop_
_atom_site_label
_atom_site_fract_x
_atom_site_fract_y
_atom_site_fract_z
Pa1 0.000 0.000 0.000
Mn1 0.250 0.250 0.250
Zn1 0.000 0.000 0.500
Re1 0.250 0.250 0.750

No. 6
# Er4InCuRu2 (PBE, relaxed)
# Calculated total energy (eV/atom): -5.818
# Formation energy (eV per atom): -0.364
data_Er4InCuRu2
_symmetry_space_group_name_H-M 'R -3 m'
_symmetry_Int_Tables_number 166
_symmetry_space_group_name_Hall '-R 3 2"'
_cell_length_a 4.9212
_cell_length_b 4.9212
_cell_length_c 24.0763
_cell_angle_alpha 90.00
_cell_angle_beta 90.00
_cell_angle_gamma 120.00
loop_
_atom_site_label
_atom_site_fract_x
_atom_site_fract_y
_atom_site_fract_z
Er1 0.0000 0.0000 0.1191
Er2 0.0000 0.0000 0.3703
In1 0.0000 0.0000 0.5000
Cu1 0.0000 0.0000 0.0000
Ru1 0.0000 0.0000 0.2485

No. 7
# Pu2ThGa (PBE, relaxed)
# E above lowest polymorph (meV per atom): 219
# Calculated total energy (eV/atom): -9.717
# Formation energy (eV per atom): 0.060
data_Pu2ThGa
_symmetry_space_group_name_H-M 'F m -3 m'
_symmetry_Int_Tables_number 225
_symmetry_space_group_name_Hall '-F 4 2 3'
_cell_length_a 7.334
_cell_length_b 7.334
_cell_length_c 7.334
_cell_angle_alpha 90.00
_cell_angle_beta 90.00
_cell_angle_gamma 90.00
loop_
_atom_site_label
_atom_site_fract_x
_atom_site_fract_y
_atom_site_fract_z
Pu1 0.250 0.250 0.250
Th1 0.000 0.000 0.000
Ga1 0.000 0.000 0.500

No. 8
# Y4ZnAu2 (PBE, relaxed)
# Calculated total energy (eV/atom): -5.359
# Formation energy (eV per atom): -0.547
data_Y4ZnAu2
_symmetry_space_group_name_H-M 'R -3 m'
_symmetry_Int_Tables_number 166
_symmetry_space_group_name_Hall '-R 3 2"'
_cell_length_a 5.0435
_cell_length_b 5.0435
_cell_length_c 24.5925
_cell_angle_alpha 90.00
_cell_angle_beta 90.00
_cell_angle_gamma 120.00
loop_
_atom_site_label
_atom_site_fract_x
_atom_site_fract_y
_atom_site_fract_z
Y1 0.0000 0.0000 0.1230
Y2 0.0000 0.0000 0.3738
Zn1 0.0000 0.0000 0.5000
Au1 0.0000 0.0000 0.2502

No. 9
# Dy3NiRu (PBE, relaxed)
# E above lowest polymorph (meV per atom): 25
# Calculated total energy (eV/atom): -6.084
# Formation energy (eV per atom): -0.311
data_Dy3NiRu
_symmetry_space_group_name_H-M 'P -1'
_symmetry_Int_Tables_number 2
_cell_length_a 4.767
_cell_length_b 7.578
_cell_length_c 7.583
_cell_angle_alpha 65.35
_cell_angle_beta 71.71
_cell_angle_gamma 71.82
loop_
_symmetry_equiv_pos_as_xyz
'x,y,z'
'-x,-y,-z'
loop_
_atom_site_label
_atom_site_fract_x
_atom_site_fract_y
_atom_site_fract_z
Dy1 0.083 0.253 0.081
Dy2 0.250 0.749 0.251
Dy3 0.416 0.253 0.414
Ni1 0.330 0.004 0.837
Ru1 0.168 0.497 0.667

No. 10
# NaIn2Pb2 (PBE, relaxed)
# E above lowest polymorph (meV per atom): 68
# Calculated total energy (eV/atom): -2.847
# Formation energy (eV per atom): -0.005
data_NaIn2Pb2
_symmetry_space_group_name_H-M 'P 4/m b m'
_symmetry_Int_Tables_number 127
_symmetry_space_group_name_Hall '-P 4 2ab'
_cell_length_a 9.115
_cell_length_b 9.115
_cell_length_c 3.715
_cell_angle_alpha 90.00
_cell_angle_beta 90.00
_cell_angle_gamma 90.00
loop_
_atom_site_label
_atom_site_fract_x
_atom_site_fract_y
_atom_site_fract_z
Na1 0.000 0.000 0.000
In1 0.149 0.351 0.500
Pb1 0.147 0.647 0.000

No. 11
# YTa2Cr2 (PBE, relaxed)
# E above lowest polymorph (meV per atom): 176
# Calculated total energy (eV/atom): -9.284
# Formation energy (eV per atom): 0.599
data_YTa2Cr2
_symmetry_space_group_name_H-M 'I 4/m m m'
_symmetry_Int_Tables_number 139
_symmetry_space_group_name_Hall '-I 4 2'
_cell_length_a 4.091
_cell_length_b 4.091
_cell_length_c 11.343
_cell_angle_alpha 90.00
_cell_angle_beta 90.00
_cell_angle_gamma 90.00
loop_
_atom_site_label
_atom_site_fract_x
_atom_site_fract_y
_atom_site_fract_z
Y1 0.000 0.000 0.000
Ta1 0.000 0.000 0.376
Cr1 0.000 0.500 0.250

No. 12
# CrIn2Pt (PBE, relaxed)
# Calculated total energy (eV/atom): -5.212
# Formation energy (eV per atom): 0.073
data_CrIn2Pt
_symmetry_space_group_name_H-M 'F -4 3 m'
_symmetry_Int_Tables_number 216
_symmetry_space_group_name_Hall 'F -4 2 3'
_cell_length_a 6.675
_cell_length_b 6.675
_cell_length_c 6.675
_cell_angle_alpha 90.00
_cell_angle_beta 90.00
_cell_angle_gamma 90.00
loop_
_atom_site_label
_atom_site_fract_x
_atom_site_fract_y
_atom_site_fract_z
Cr1 0.000 0.000 0.000
In1 0.000 0.000 0.500
In2 0.250 0.250 0.750
Pt1 0.250 0.250 0.250

- Which of these has the highest formation energy?
  YTa2Cr2